No. 1
The following is a GGA-PBE calculation of a relaxed PbW2Se crystal, from Alexandria via LeMat-Bulk.

Values from the calculation:
Polymorph energy (0 for the lowest one), eV per atom: 0.702
VASP energy, eV for the cell shown: -28.913
Space group: No. 123
Formation energy without anion corrections, eV per atom: 1.05

```
4
Lattice="4.673 0.000 0.000 0.000 4.673 0.000 0.000 0.000 3.281" Properties=species:S:1:pos:R:3 pbc="T T T"
Pb 0.000 0.000 0.000
W 0.000 2.337 1.641
W 2.337 0.000 1.641
Se 2.337 2.337 0.000
```

No. 2
The following is a GGA-PBE calculation of a relaxed PbWSe2 crystal, from Alexandria via LeMat-Bulk.

Values from the calculation:
VASP energy, eV for the cell shown: -22.538
Space group: No. 6
Formation energy without anion corrections, eV per atom: 0.27

```
4
Lattice="3.442 0.000 0.000 0.000 4.812 0.000 -1.497 0.000 6.115" Properties=species:S:1:pos:R:3 pbc="T T T"
Pb 0.000 0.000 0.000
W 0.305 2.406 3.465
Se 0.297 0.000 3.662
Se 2.021 2.406 1.654
```

No. 3
The following is a GGA-PBE calculation of a relaxed PbWSe2 crystal, from Alexandria via LeMat-Bulk.

Values from the calculation:
VASP energy, eV for the cell shown: -77.872
Space group: No. 216
Formation energy without anion corrections, eV per atom: 1.04

```
16
Lattice="6.901 0.000 0.000 0.000 6.901 0.000 0.000 0.000 6.901" Properties=species:S:1:pos:R:3 pbc="T T T"
Pb 0.000 0.000 0.000
Pb 0.000 3.451 3.451
Pb 3.451 0.000 3.451
Pb 3.451 3.451 0.000
W 1.725 1.725 5.176
W 1.725 5.176 1.725
W 5.176 1.725 1.725
W 5.176 5.176 5.176
Se 0.000 0.000 3.451
Se 0.000 3.451 0.000
Se 1.725 1.725 1.725
Se 1.725 5.176 5.176
Se 3.451 0.000 0.000
Se 3.451 3.451 3.451
Se 5.176 1.725 5.176
Se 5.176 5.176 1.725
```